Record 1
Below is an optimized crystal structure of BaTaTl2, with properties calculated at the PBEsol level.

Cell lengths 3.8996, 3.8996, 7.8516 Å; angles 90.00, 90.00, 90.00 degrees
Last column: nearest neighbours and their distance in Å.
Space group P4mm (No. 99)
Unique sites:
1 Ba 0.0000 0.0000 0.0000  5 Tl 3.30-3.66
2 Ta 0.5000 0.5000 0.3391  5 Tl 2.78-2.83
3 Tl 0.0000 0.0000 0.4200  4 Ta 2.83
4 Tl 0.5000 0.5000 0.6931  1 Ta 2.78

## Properties
The crystal system is tetragonal. As for the energy relative to the elements: 0.53 eV per atom. The density of states at the Fermi level is 3.1 states/eV per cell.



Record 2
Below is an optimized crystal structure of Zn2PtAu, with properties calculated at the PBEsol level.

Cell lengths 5.5743, 7.3007, 2.8624 Å; angles 90.00, 90.00, 90.00 degrees
Last column: nearest neighbours and their distance in Å.
Space group Cmmm (No. 65)
Unique sites:
1 Zn 0.2500 0.2500 0.0000  4 Pt 2.71, 4 Au 2.71, 4 Zn 2.79-2.86
2 Pt 0.0000 0.0000 0.5000  8 Zn 2.71, 2 Au 2.79, 2 Pt 2.86
3 Au 0.0000 0.5000 0.5000  8 Zn 2.71, 2 Pt 2.79, 2 Au 2.86

## Properties
The crystal system is orthorhombic. As for the energy relative to the elements: -0.38 eV per atom. The density of states at the Fermi level is 2.3 states/eV per cell.



Record 3
Below is an optimized crystal structure of Al2TePO, with properties calculated at the PBEsol level.

Cell lengths 5.4509, 5.4509, 4.8833 Å; angles 90.00, 90.00, 90.00 degrees
Last column: nearest neighbours and their distance in Å.
Space group P4/mmm (No. 123)
Unique sites:
1 Al 0.0000 0.5000 0.0000  2 Te 2.73
2 Te 0.0000 0.0000 0.0000  2 P 2.44, 4 Al 2.73
3 P 0.0000 0.0000 0.5000  2 Te 2.44
4 O 0.5000 0.5000 0.5000  8 Al 3.66, 4 P 3.85

## Properties
The crystal system is tetragonal. The density of states at the Fermi level is 4.2 states/eV per cell.



Record 4
Below is an optimized crystal structure of BaSrNiWO6, with properties calculated at the PBEsol level.

Cell lengths 7.9383, 7.9383, 7.9383 Å; angles 90.00, 90.00, 90.00 degrees
Last column: nearest neighbours and their distance in Å.
Space group F-43m (No. 216)
Unique sites:
1 Ba 0.0000 0.0000 0.0000  12 O 2.81
2 Sr 0.0000 0.0000 0.5000  12 O 2.81
3 Ni 0.2500 0.2500 0.7500  6 O 2.04
4 W 0.2500 0.2500 0.2500  6 O 1.93
5 O 0.0071 0.2500 0.2500  1 W 1.93, 1 Ni 2.04

## Properties
The crystal system is cubic.



Record 5
Below is an optimized crystal structure of K2BaMo, with properties calculated at the PBEsol level.

Cell lengths 8.7873, 8.7873, 8.7873 Å; angles 90.00, 90.00, 90.00 degrees
Last column: nearest neighbours and their distance in Å.
Space group Fm-3m (No. 225)
Unique sites:
1 K 0.2500 0.2500 0.2500  4 Ba 3.81, 4 Mo 3.81
2 Ba 0.0000 0.0000 0.0000  8 K 3.81
3 Mo 0.0000 0.0000 0.5000  8 K 3.81

## Properties
The crystal system is cubic. As for the energy relative to the elements: 1.35 eV per atom. For the polymorph energy (0 for the lowest one), the calculation gives 122 meV per atom. The density of states at the Fermi level is 16.6 states/eV per cell.



Record 6
Below is an optimized crystal structure of Al2ReOs, with properties calculated at the PBEsol level.

Cell lengths 2.9639, 4.6303, 8.2612 Å; angles 90.00, 90.00, 90.00 degrees
Last column: nearest neighbours and their distance in Å.
Space group Cmmm (No. 65)
Unique sites:
1 Al 0.0000 0.0000 0.2451  2 Os 2.51, 2 Re 2.57, 4 Al 2.75
2 Re 0.0000 0.5000 0.5000  4 Al 2.57, 4 Re 2.75
3 Os 0.0000 0.5000 0.0000  4 Al 2.51, 4 Os 2.75

## Properties
The crystal system is orthorhombic. As for the energy relative to the elements: -0.06 eV per atom. The density of states at the Fermi level is 5.1 states/eV per cell.



Record 7
Below is an optimized crystal structure of Li4Ti5Co3O16, with properties calculated at the PBEsol level.

Cell lengths 5.6553, 5.6932, 9.4392 Å; angles 90.11, 90.67, 118.73 degrees
Last column: nearest neighbours and their distance in Å.
Space group P1 (No. 1)
Unique sites:
1 Li 0.0000 0.0000 0.0000  3 O 1.78-1.90
2 Li 0.0072 0.9990 0.4979  4 O 1.80-1.94
3 Li 0.3564 0.6551 0.5911  4 O 1.88-1.91
4 Li 0.6766 0.3178 0.1030  4 O 1.87-1.96
5 Ti 0.1895 0.8117 0.2699  6 O 1.89-2.11
6 Ti 0.3568 0.6398 0.0010  4 O 1.83-2.02
7 Ti 0.3612 0.1431 0.7736  5 O 1.88-2.01
8 Ti 0.6860 0.3316 0.4913  4 O 1.89-2.02
9 Ti 0.8518 0.6338 0.7753  6 O 1.89-2.07
10 Co 0.1786 0.3308 0.2814  6 O 1.89-1.96
11 Co 0.6680 0.8210 0.2802  6 O 1.89-1.95
12 Co 0.8421 0.1708 0.7798  5 O 1.89-2.09
13 O 0.0031 0.9884 0.6887  1 Li 1.80, 1 Co 1.89, 2 Ti 1.94-1.96
14 O 0.0035 0.9944 0.1887  1 Li 1.78, 2 Co 1.89, 1 Ti 1.95
15 O 0.0428 0.5012 0.1540  1 Li 1.87, 1 Ti 1.89, 1 Co 1.92
16 O 0.1725 0.3203 0.8937  1 Ti 1.89, 1 Li 1.90, 1 Co 1.95
17 O 0.1827 0.8213 0.8984  3 Ti 1.98-2.01, 1 Li 2.01
18 O 0.3421 0.1616 0.3958  2 Ti 1.92-2.11, 1 Li 1.93, 1 Co 1.95
19 O 0.3506 0.6533 0.3892  2 Co 1.90, 1 Li 1.91, 1 Ti 1.92
20 O 0.4870 0.5061 0.1668  2 Co 1.89-1.90, 1 Li 1.94, 1 Ti 2.02
21 O 0.4941 0.9524 0.1513  1 Li 1.88, 2 Ti 1.89-2.10, 1 Co 1.92
22 O 0.5272 0.4633 0.6575  1 Li 1.88, 2 Ti 1.95
23 O 0.5364 0.0227 0.6480  1 Ti 1.88, 1 Li 1.91, 1 Co 1.95
24 O 0.6716 0.7966 0.9028  1 Ti 1.83, 1 Li 1.88
25 O 0.6764 0.3215 0.8959  1 Co 1.90, 2 Ti 1.94, 1 Li 1.96
26 O 0.8387 0.6620 0.3941  2 Ti 1.89-2.11, 1 Co 1.93, 1 Li 1.94
27 O 0.8428 0.1572 0.3871  1 Li 1.89, 1 Ti 1.90, 2 Co 1.95-1.96
28 O 0.9860 0.4893 0.6376  2 Ti 1.89-2.02, 1 Li 1.90, 1 Co 2.09

## Properties
The crystal system is triclinic. The density of states at the Fermi level is 0.4 states/eV per cell.



Record 8
Below is an optimized crystal structure of ZrPtW2, with properties calculated at the PBEsol level.

Cell lengths 3.6471, 4.1023, 8.8848 Å; angles 90.00, 90.00, 90.00 degrees
Last column: nearest neighbours and their distance in Å.
Space group Cmmm (No. 65)
Unique sites:
1 Zr 0.0000 0.0000 0.0000  4 Zr 2.74, 4 W 3.01
2 Pt 0.0000 0.0000 0.5000  8 W 2.74-2.90, 4 Pt 2.74
3 W 0.0000 0.5000 0.2699  4 Pt 2.74-2.90, 4 W 2.74, 2 Zr 3.01

## Properties
The crystal system is orthorhombic. As for the energy relative to the elements: 0.02 eV per atom. For the polymorph energy (0 for the lowest one), the calculation gives 112 meV per atom. The density of states at the Fermi level is 5.5 states/eV per cell.



Record 9
Below is an optimized crystal structure of Mg2AlIn, with properties calculated at the PBEsol level.

Cell lengths 3.1297, 4.2862, 6.1529 Å; angles 90.00, 90.00, 90.00 degrees
Last column: nearest neighbours and their distance in Å.
Space group Pmmm (No. 47)
Unique sites:
1 Mg 0.0000 0.0000 0.2401  4 Mg 2.95-3.20, 4 Al 3.04, 4 In 3.10
2 Al 0.5000 0.5000 0.0000  8 Mg 3.04, 2 In 3.08, 2 Al 3.13
3 In 0.5000 0.5000 0.5000  2 Al 3.08, 8 Mg 3.10, 2 In 3.13

## Properties
The crystal system is orthorhombic. As for the energy relative to the elements: -0.05 eV per atom. The density of states at the Fermi level is 1.5 states/eV per cell.



Record 10
Below is an optimized crystal structure of Li5Nb7S14, with properties calculated at the PBEsol level.

Cell lengths 23.3317, 5.7725, 16.2474 Å; angles 90.00, 128.01, 90.00 degrees
Last column: nearest neighbours and their distance in Å.
Space group C2/c (No. 15)
Unique sites:
1 Li 0.0351 0.2489 0.9999  6 S 2.52-2.54
2 Li 0.1759 0.2498 0.9999  6 S 2.50-2.56
3 Li 0.2500 0.2500 0.5000  6 S 2.53
4 Nb 0.0000 0.2503 0.2500  6 S 2.47
5 Nb 0.0714 0.2511 0.7503  6 S 2.48-2.49
6 Nb 0.1429 0.2519 0.2505  6 S 2.48-2.49
7 Nb 0.2145 0.2506 0.7498  6 S 2.46-2.49
8 S 0.0187 0.4157 0.1281  3 Nb 2.47-2.48, 2 Li 2.53-2.54
9 S 0.0519 0.0814 0.8719  3 Nb 2.47-2.49, 2 Li 2.50-2.53
10 S 0.0912 0.0840 0.6288  3 Nb 2.47-2.49, 2 Li 2.52-2.53
11 S 0.1233 0.4157 0.3726  3 Nb 2.47-2.48, 2 Li 2.53
12 S 0.1618 0.4187 0.1281  3 Nb 2.46-2.48, 2 Li 2.50-2.54
13 S 0.1954 0.0840 0.8726  3 Nb 2.48-2.49, 3 Li 2.53-2.56
14 S 0.2326 0.0838 0.6275  3 Nb 2.47-2.48, 2 Li 2.53

## Properties
The crystal system is monoclinic. The density of states at the Fermi level is 32.0 states/eV per cell.



Record 11
Below is an optimized crystal structure of CoMo2, with properties calculated at the PBEsol level.

Cell lengths 5.8708, 5.8708, 4.7214 Å; angles 90.00, 90.00, 90.00 degrees
Last column: nearest neighbours and their distance in Å.
Space group I4/mcm (No. 140)
Unique sites:
1 Co 0.0000 0.0000 0.2500  2 Co 2.36, 8 Mo 2.51
2 Mo 0.1564 0.3436 0.0000  4 Co 2.51, 1 Mo 2.60

## Properties
The crystal system is tetragonal. As for the energy relative to the elements: 0.00 eV per atom. The density of states at the Fermi level is 13.4 states/eV per cell.



Record 12
Below is an optimized crystal structure of CaTl2Cd, with properties calculated at the PBEsol level.

Cell lengths 7.4451, 7.4451, 7.4451 Å; angles 90.00, 90.00, 90.00 degrees
Last column: nearest neighbours and their distance in Å.
Space group F-43m (No. 216)
Unique sites:
1 Ca 0.0000 0.0000 0.0000  4 Cd 3.22, 4 Tl 3.22
2 Tl 0.0000 0.0000 0.5000  4 Cd 3.22, 4 Tl 3.22
3 Tl 0.2500 0.2500 0.7500  4 Tl 3.22, 4 Ca 3.22
4 Cd 0.2500 0.2500 0.2500  4 Tl 3.22, 4 Ca 3.22

## Properties
The crystal system is cubic. As for the energy relative to the elements: -0.21 eV per atom. For the polymorph energy (0 for the lowest one), the calculation gives 56 meV per atom. The density of states at the Fermi level is 5.2 states/eV per cell.



Size of the total moment for the records above, in order: 0.00 0.00 0.91 7.88 16.33 0.00 1.07 0.00 0.00 0.00 0.00 0.00 μB per cell
Total DFT energy (no corrections) for the records above, in order: -4.464 -3.892 -3.122 -7.849 -2.691 -8.489 -7.937 -10.896 -2.675 -7.002 -10.423 -2.362 eV/atom
Calculated density for the records above, in order: 10.11 14.91 2.62 7.48 3.05 12.61 4.36 16.34 3.83 4.37 10.24 9.03 g/cm³